1.
{
  "formula": "SrErGaCu",
  "functional": "PBE",
  "state": "relaxed",
  "mass_density_kg_m3": 6611,
  "n_ef_per_ev_atom": 1.3259,
  "vol_a3_per_atom": 24.37,
  "magnetic_moment_mub_per_atom": 0.000,
  "crystal_system": "cubic",
  "lattice_angstrom": [[7.306, 0.000, 0.000], [0.000, 7.306, 0.000], [0.000, 0.000, 7.306]],
  "species": ["Sr", "Sr", "Sr", "Sr", "Er", "Er", "Er", "Er", "Ga", "Ga", "Ga", "Ga", "Cu", "Cu", "Cu", "Cu"],
  "fractional_positions": [[0.000, 0.000, 0.000], [0.000, 0.500, 0.500], [0.500, 0.000, 0.500], [0.500, 0.500, 0.000], [0.000, 0.000, 0.500], [0.000, 0.500, 0.000], [0.500, 0.000, 0.000], [0.500, 0.500, 0.500], [0.250, 0.250, 0.750], [0.250, 0.750, 0.250], [0.750, 0.250, 0.250], [0.750, 0.750, 0.750], [0.250, 0.250, 0.250], [0.250, 0.750, 0.750], [0.750, 0.250, 0.750], [0.750, 0.750, 0.250]]
}



2.
{
  "formula": "TbErGa2Cu2",
  "functional": "PBE",
  "state": "relaxed",
  "mass_density_kg_m3": 8512,
  "n_ef_per_ev_atom": 0.6884,
  "vol_a3_per_atom": 19.27,
  "magnetic_moment_mub_per_atom": 0.000,
  "crystal_system": "trigonal",
  "lattice_angstrom": [[4.353, 0.000, 0.000], [-2.177, 3.770, 0.000], [0.000, 0.000, 7.046]],
  "species": ["Tb", "Er", "Ga", "Ga", "Cu", "Cu"],
  "fractional_positions": [[0.000, 0.000, 0.000], [0.000, 0.000, 0.500], [0.333, 0.667, 0.256], [0.667, 0.333, 0.744], [0.333, 0.667, 0.741], [0.667, 0.333, 0.259]]
}



| no. | final energy (eV per cell) |
| --- | --- |
| 1 | -56.705 |
| 2 | -26.459 |